A plane-wave DFT calculation with PBE was carried out for an optimized crystal structure of RbHfTl.

Properties
Total moment, μB per cell: 0.0
Energy, eV for the cell shown: -24.79
Formation enthalpy at 0 K, meV per atom: 298

abc: 4.639 5.105 12.599
angles: 78.88 89.52 62.99
Sites, in units of the cell vectors:
Rb 0.216 0.083 0.181
Rb 0.784 0.917 0.819
Hf 0.353 0.794 0.504
Hf 0.647 0.206 0.496
Tl 0.043 0.408 0.627
Tl 0.957 0.592 0.373



A plane-wave DFT calculation with PBE was carried out for an optimized crystal structure of BaP2IrO8.

Properties
Total moment, μB per cell: 1.1
Formation energy from raw total energies, kcal/mol of atoms: -44.3
Energy, eV for the cell shown: -84.30

abc: 8.371 8.371 8.371
angles: 35.80 35.80 35.80
Sites, in units of the cell vectors:
Ba 0.000 0.000 0.000
P 0.241 0.241 0.241
P 0.759 0.759 0.759
Ir 0.500 0.500 0.500
O 0.108 0.588 0.640
O 0.306 0.306 0.306
O 0.360 0.412 0.892
O 0.412 0.892 0.360
O 0.588 0.640 0.108
O 0.640 0.108 0.588
O 0.694 0.694 0.694
O 0.892 0.360 0.412



A plane-wave DFT calculation with PBE was carried out for an optimized crystal structure of NiPN2.

Properties
Total moment, μB per cell: 2.0
Formation energy from raw total energies, kcal/mol of atoms: -1.1
Energy, eV for the cell shown: -56.05

abc: 4.985 4.985 4.985
angles: 127.42 127.42 77.57
Sites, in units of the cell vectors:
Ni 0.000 0.000 0.000
Ni 0.750 0.250 0.500
P 0.250 0.750 0.500
P 0.500 0.500 0.000
N 0.199 0.625 0.074
N 0.375 0.449 0.574
N 0.551 0.125 0.926
N 0.875 0.801 0.426



Q: What is the formula in the third record?
A: NiPN2



Q: Look up the energy of the second one.
A: -84.30 eV for the cell shown



Copy entry 3 word for word.
A plane-wave DFT calculation with PBE was carried out for an optimized crystal structure of NiPN2.

Properties
Total moment, μB per cell: 2.0
Formation energy from raw total energies, kcal/mol of atoms: -1.1
Energy, eV for the cell shown: -56.05

abc: 4.985 4.985 4.985
angles: 127.42 127.42 77.57
Sites, in units of the cell vectors:
Ni 0.000 0.000 0.000
Ni 0.750 0.250 0.500
P 0.250 0.750 0.500
P 0.500 0.500 0.000
N 0.199 0.625 0.074
N 0.375 0.449 0.574
N 0.551 0.125 0.926
N 0.875 0.801 0.426